Here is an optimized crystal structure of TcBTeN2 from the Alexandria database. Energies are from PBEsol.

a = 3.4327 Å, b = 3.4327 Å, c = 5.9532 Å
α = 90.00°, β = 90.00°, γ = 90.00°
Each line ends with the local moment (μB).
Atoms (fractional coordinates):
Tc: 0.5000 0.5000 0.5000  0.47
N: 0.5000 0.0000 0.0000  -0.02
Te: 0.0000 0.0000 0.5000  -0.02
B: 0.0000 0.0000 0.0000  0.01
N: 0.0000 0.5000 0.0000  -0.02

Total moment ... 0.45 μB/cell
Volume ... 70.2 Å³/cell
Raw formation energy ... 1.804 eV/atom